# MgTeSe2N (PBE, relaxed)
data_MgTeSe2N
_symmetry_space_group_name_H-M 'P 1'
_symmetry_Int_Tables_number 1
_cell_length_a 5.4104
_cell_length_b 5.4104
_cell_length_c 3.9518
_cell_angle_alpha 90.00
_cell_angle_beta 90.00
_cell_angle_gamma 90.00
loop_
_symmetry_equiv_pos_as_xyz
'x,y,z'
loop_
_atom_site_label
_atom_site_fract_x
_atom_site_fract_y
_atom_site_fract_z
Mg1 0.0000 0.0000 0.0000
Te1 0.5000 0.5000 0.5000
Se1 0.0000 0.5000 0.5000
Se2 0.5000 0.0000 0.5000
N1 0.5000 0.5000 0.0000
# - raw total energy (eV per atom) = -3.4581
# - space group = P4/mmm, No. 123
# - formation energy without anion corrections (eV per atom) = 0.548
# - density (g/cm3) = 4.65
# - distance to the lowest polymorph of the same formula (meV/atom) = 0.0



# MgTiSeN2 (PBE, relaxed)
data_MgTiSeN2
_symmetry_space_group_name_H-M 'P 1'
_symmetry_Int_Tables_number 1
_cell_length_a 3.8601
_cell_length_b 3.8601
_cell_length_c 5.5049
_cell_angle_alpha 90.00
_cell_angle_beta 90.00
_cell_angle_gamma 90.00
loop_
_symmetry_equiv_pos_as_xyz
'x,y,z'
loop_
_atom_site_label
_atom_site_fract_x
_atom_site_fract_y
_atom_site_fract_z
Mg1 0.0000 0.0000 0.0000
Ti1 0.5000 0.5000 0.5000
Se1 0.5000 0.5000 0.0000
N1 0.0000 0.5000 0.5000
N2 0.5000 0.0000 0.5000
# - raw total energy (eV per atom) = -6.0959
# - space group = P4/mmm, No. 123
# - formation energy without anion corrections (eV per atom) = -0.171
# - density (g/cm3) = 3.63
# - distance to the lowest polymorph of the same formula (meV/atom) = 0.0



# MgTiSe2N (PBE, relaxed)
data_MgTiSe2N
_symmetry_space_group_name_H-M 'P 1'
_symmetry_Int_Tables_number 1
_cell_length_a 5.0849
_cell_length_b 5.0849
_cell_length_c 3.8540
_cell_angle_alpha 90.00
_cell_angle_beta 90.00
_cell_angle_gamma 90.00
loop_
_symmetry_equiv_pos_as_xyz
'x,y,z'
loop_
_atom_site_label
_atom_site_fract_x
_atom_site_fract_y
_atom_site_fract_z
Mg1 0.0000 0.0000 0.0000
Ti1 0.5000 0.5000 0.5000
Se1 0.0000 0.5000 0.0000
Se2 0.5000 0.0000 0.0000
N1 0.0000 0.0000 0.5000
# - raw total energy (eV per atom) = -4.5109
# - space group = P4/mmm, No. 123
# - formation energy without anion corrections (eV per atom) = 0.446
# - density (g/cm3) = 4.07
# - distance to the lowest polymorph of the same formula (meV/atom) = 854.3



# MgTiSeN2 (PBE, relaxed)
data_MgTiSeN2
_symmetry_space_group_name_H-M 'P 1'
_symmetry_Int_Tables_number 1
_cell_length_a 3.8700
_cell_length_b 3.8700
_cell_length_c 5.0687
_cell_angle_alpha 90.00
_cell_angle_beta 90.00
_cell_angle_gamma 90.00
loop_
_symmetry_equiv_pos_as_xyz
'x,y,z'
loop_
_atom_site_label
_atom_site_fract_x
_atom_site_fract_y
_atom_site_fract_z
Mg1 0.0000 0.0000 0.0000
Ti1 0.5000 0.5000 0.5000
Se1 0.0000 0.0000 0.5000
N1 0.0000 0.5000 0.0000
N2 0.5000 0.0000 0.0000
# - raw total energy (eV per atom) = -5.0041
# - space group = P4/mmm, No. 123
# - formation energy without anion corrections (eV per atom) = 0.921
# - density (g/cm3) = 3.92
# - distance to the lowest polymorph of the same formula (meV/atom) = 1091.8



# MgTiSe2N (PBE, relaxed)
data_MgTiSe2N
_symmetry_space_group_name_H-M 'P 1'
_symmetry_Int_Tables_number 1
_cell_length_a 5.1351
_cell_length_b 5.1351
_cell_length_c 3.7588
_cell_angle_alpha 90.00
_cell_angle_beta 90.00
_cell_angle_gamma 90.00
loop_
_symmetry_equiv_pos_as_xyz
'x,y,z'
loop_
_atom_site_label
_atom_site_fract_x
_atom_site_fract_y
_atom_site_fract_z
Mg1 0.0000 0.0000 0.0000
Ti1 0.5000 0.5000 0.5000
Se1 0.0000 0.5000 0.5000
Se2 0.5000 0.0000 0.5000
N1 0.5000 0.5000 0.0000
# - raw total energy (eV per atom) = -5.3652
# - space group = P4/mmm, No. 123
# - formation energy without anion corrections (eV per atom) = -0.408
# - density (g/cm3) = 4.09
# - distance to the lowest polymorph of the same formula (meV/atom) = 0.0



# MgTlSeN2 (PBE, relaxed)
data_MgTlSeN2
_symmetry_space_group_name_H-M 'P 1'
_symmetry_Int_Tables_number 1
_cell_length_a 4.2846
_cell_length_b 4.2846
_cell_length_c 6.0182
_cell_angle_alpha 90.00
_cell_angle_beta 90.00
_cell_angle_gamma 90.00
loop_
_symmetry_equiv_pos_as_xyz
'x,y,z'
loop_
_atom_site_label
_atom_site_fract_x
_atom_site_fract_y
_atom_site_fract_z
Mg1 0.0000 0.0000 0.0000
Tl1 0.5000 0.5000 0.5000
Se1 0.5000 0.5000 0.0000
N1 0.0000 0.5000 0.5000
N2 0.5000 0.0000 0.5000
# - raw total energy (eV per atom) = -3.4395
# - space group = P4/mmm, No. 123
# - formation energy without anion corrections (eV per atom) = 1.380
# - density (g/cm3) = 5.05
# - distance to the lowest polymorph of the same formula (meV/atom) = 361.6



# MgTlSe2N (PBE, relaxed)
data_MgTlSe2N
_symmetry_space_group_name_H-M 'P 1'
_symmetry_Int_Tables_number 1
_cell_length_a 5.4970
_cell_length_b 5.4970
_cell_length_c 4.2802
_cell_angle_alpha 90.00
_cell_angle_beta 90.00
_cell_angle_gamma 90.00
loop_
_symmetry_equiv_pos_as_xyz
'x,y,z'
loop_
_atom_site_label
_atom_site_fract_x
_atom_site_fract_y
_atom_site_fract_z
Mg1 0.0000 0.0000 0.0000
Tl1 0.5000 0.5000 0.5000
Se1 0.0000 0.5000 0.5000
Se2 0.5000 0.0000 0.5000
N1 0.5000 0.5000 0.0000
# - raw total energy (eV per atom) = -3.0155
# - space group = P4/mmm, No. 123
# - formation energy without anion corrections (eV per atom) = 0.836
# - density (g/cm3) = 5.14
# - distance to the lowest polymorph of the same formula (meV/atom) = 404.2



# MgTlSeN2 (PBE, relaxed)
data_MgTlSeN2
_symmetry_space_group_name_H-M 'P 1'
_symmetry_Int_Tables_number 1
_cell_length_a 4.2533
_cell_length_b 4.2533
_cell_length_c 5.5851
_cell_angle_alpha 90.00
_cell_angle_beta 90.00
_cell_angle_gamma 90.00
loop_
_symmetry_equiv_pos_as_xyz
'x,y,z'
loop_
_atom_site_label
_atom_site_fract_x
_atom_site_fract_y
_atom_site_fract_z
Mg1 0.0000 0.0000 0.0000
Tl1 0.5000 0.5000 0.5000
Se1 0.0000 0.0000 0.5000
N1 0.0000 0.5000 0.0000
N2 0.5000 0.0000 0.0000
# - raw total energy (eV per atom) = -3.8011
# - space group = P4/mmm, No. 123
# - formation energy without anion corrections (eV per atom) = 1.018
# - density (g/cm3) = 5.52
# - distance to the lowest polymorph of the same formula (meV/atom) = 0.0



Copy entry 7 word for word.
# MgTlSe2N (PBE, relaxed)
data_MgTlSe2N
_symmetry_space_group_name_H-M 'P 1'
_symmetry_Int_Tables_number 1
_cell_length_a 5.4970
_cell_length_b 5.4970
_cell_length_c 4.2802
_cell_angle_alpha 90.00
_cell_angle_beta 90.00
_cell_angle_gamma 90.00
loop_
_symmetry_equiv_pos_as_xyz
'x,y,z'
loop_
_atom_site_label
_atom_site_fract_x
_atom_site_fract_y
_atom_site_fract_z
Mg1 0.0000 0.0000 0.0000
Tl1 0.5000 0.5000 0.5000
Se1 0.0000 0.5000 0.5000
Se2 0.5000 0.0000 0.5000
N1 0.5000 0.5000 0.0000
# - raw total energy (eV per atom) = -3.0155
# - space group = P4/mmm, No. 123
# - formation energy without anion corrections (eV per atom) = 0.836
# - density (g/cm3) = 5.14
# - distance to the lowest polymorph of the same formula (meV/atom) = 404.2